A plane-wave DFT calculation with GGA-PBE was carried out for an optimized crystal structure of ZnCdPb2.

a = 9.2414 Å, b = 9.2414 Å, c = 9.2414 Å
α = 23.14°, β = 23.14°, γ = 23.14°
Last column: nearest neighbours and their distance in Å.
Sites, in units of the cell vectors:
Cd1 0.7500 0.7500 0.7500  6 Pb 3.23
Pb1 0.9938 0.9938 0.9938  3 Zn 2.98, 3 Cd 3.23
Pb2 0.5062 0.5062 0.5062  3 Zn 2.98, 3 Cd 3.23
Zn1 0.2500 0.2500 0.2500  6 Pb 2.98

Total moment = 0.0 μB per cell
Formation energy = 0.13 eV/atom
DFT total energy = -0.0835 Ha/atom
N(E_F) = 1.84 states/eV per cell